<a>
VASP calculation (PBE-GGA) on a geometry-optimized TaTcRu structure.

Computed properties:
**Total magnetic moment**: 0.0 μB per formula unit
**SG**: F-43m

a = 4.260 Å, b = 4.260 Å, c = 4.260 Å
α = 60.00°, β = 60.00°, γ = 60.00°
Atoms (fractional coordinates):
Ru 0.500 0.500 0.500
Ta 0.750 0.750 0.750
Tc 0.000 0.000 0.000


<b>
VASP calculation (PBE-GGA) on a geometry-optimized TaTcRu structure.

Computed properties:
**Total magnetic moment**: 0.0 μB per formula unit
**SG**: Imm2

a = 4.935 Å, b = 4.935 Å, c = 4.935 Å
α = 146.57°, β = 134.49°, γ = 57.63°
Atoms (fractional coordinates):
Ru 0.008 0.008 0.000
Ta 0.334 0.334 0.000
Tc 0.658 0.658 0.000


Stability comparison, relative energies in kJ/mol of atoms: <a> 54.3; <b> 0.0


<a>
VASP calculation (PBE-GGA) on a geometry-optimized TaTcRu3 structure.

Computed properties:
**Total magnetic moment**: 0.0 μB per formula unit
**SG**: Pm-3m

a = 4.561 Å, b = 4.561 Å, c = 4.561 Å
α = 90.00°, β = 90.00°, γ = 90.00°
Atoms (fractional coordinates):
Ru 0.000 0.500 0.000
Ru 0.000 0.000 0.500
Ru 0.500 0.000 0.000
Tc 0.000 0.000 0.000
Ta 0.500 0.500 0.500


<b>
VASP calculation (PBE-GGA) on a geometry-optimized TaTcRu3 structure.

Computed properties:
**Total magnetic moment**: 0.0 μB per formula unit
**SG**: Pm-3m

a = 4.613 Å, b = 4.613 Å, c = 4.613 Å
α = 90.00°, β = 90.00°, γ = 90.00°
Atoms (fractional coordinates):
Ru 0.000 0.500 0.000
Ru 0.000 0.000 0.500
Ru 0.500 0.000 0.000
Tc 0.500 0.500 0.500
Ta 0.000 0.000 0.000


Stability comparison, relative energies in kJ/mol of atoms: <a> 0.0; <b> 31.5


<a>
VASP calculation (PBE-GGA) on a geometry-optimized TaTc2Ru2 structure.

Computed properties:
**Total magnetic moment**: 0.0 μB per formula unit
**SG**: P4/mbm

a = 7.469 Å, b = 7.469 Å, c = 2.769 Å
α = 90.00°, β = 90.00°, γ = 90.00°
Atoms (fractional coordinates):
Ru 0.376 0.876 0.000
Ru 0.876 0.624 0.000
Ru 0.624 0.124 0.000
Ru 0.124 0.376 0.000
Tc 0.172 0.672 0.500
Tc 0.672 0.828 0.500
Tc 0.828 0.328 0.500
Tc 0.328 0.172 0.500
Ta 0.000 0.000 0.000
Ta 0.500 0.500 0.000


<b>
VASP calculation (PBE-GGA) on a geometry-optimized TaTc2Ru2 structure.

Computed properties:
**Total magnetic moment**: 0.0 μB per formula unit
**SG**: P4/mbm

a = 7.443 Å, b = 7.443 Å, c = 2.787 Å
α = 90.00°, β = 90.00°, γ = 90.00°
Atoms (fractional coordinates):
Ru 0.172 0.672 0.500
Ru 0.672 0.828 0.500
Ru 0.828 0.328 0.500
Ru 0.328 0.172 0.500
Tc 0.377 0.877 0.000
Tc 0.877 0.623 0.000
Tc 0.623 0.123 0.000
Tc 0.123 0.377 0.000
Ta 0.000 0.000 0.000
Ta 0.500 0.500 0.000


Stability comparison, relative energies in kJ/mol of atoms: <a> 0.0; <b> 0.8


<a>
VASP calculation (PBE-GGA) on a geometry-optimized TaTe2Ru structure.

Computed properties:
**Total magnetic moment**: 0.0 μB per formula unit
**SG**: Pmm2

a = 3.301 Å, b = 3.776 Å, c = 7.740 Å
α = 90.00°, β = 90.00°, γ = 90.00°
Atoms (fractional coordinates):
Ru 0.000 0.000 0.553
Ta 0.500 0.500 0.697
Te 0.000 0.000 0.906
Te 0.500 0.500 0.344


<b>
VASP calculation (PBE-GGA) on a geometry-optimized TaTe2Ru structure.

Computed properties:
**Total magnetic moment**: 0.0 μB per formula unit
**SG**: F-43m

a = 4.861 Å, b = 4.861 Å, c = 4.861 Å
α = 60.00°, β = 60.00°, γ = 60.00°
Atoms (fractional coordinates):
Ru 0.500 0.500 0.500
Ta 0.750 0.750 0.750
Te 0.000 0.000 0.000
Te 0.250 0.250 0.250


Stability comparison, relative energies in kJ/mol of atoms: <a> 0.0; <b> 69.3


<a>
VASP calculation (PBE-GGA) on a geometry-optimized TaTe2Ru structure.

Computed properties:
**Total magnetic moment**: 0.0 μB per formula unit
**SG**: R3m

a = 10.311 Å, b = 10.311 Å, c = 10.311 Å
α = 18.63°, β = 18.63°, γ = 18.63°
Atoms (fractional coordinates):
Ru 0.486 0.486 0.486
Ta 0.764 0.764 0.764
Te 0.025 0.025 0.025
Te 0.225 0.225 0.225


<b>
VASP calculation (PBE-GGA) on a geometry-optimized TaTe2Ru structure.

Computed properties:
**Total magnetic moment**: 0.0 μB per formula unit
**SG**: R-3m

a = 8.527 Å, b = 8.527 Å, c = 8.527 Å
α = 22.46°, β = 22.46°, γ = 22.46°
Atoms (fractional coordinates):
Ru 0.250 0.250 0.250
Ta 0.750 0.750 0.750
Te 0.998 0.998 0.998
Te 0.502 0.502 0.502


Stability comparison, relative energies in kJ/mol of atoms: <a> 0.0; <b> 26.0


<a>
VASP calculation (PBE-GGA) on a geometry-optimized TaTe2Ru structure.

Computed properties:
**Total magnetic moment**: 0.0 μB per formula unit
**SG**: R-3m

a = 9.273 Å, b = 9.273 Å, c = 9.273 Å
α = 20.94°, β = 20.94°, γ = 20.94°
Atoms (fractional coordinates):
Ru 0.000 0.000 0.000
Te 0.907 0.907 0.907
Te 0.093 0.093 0.093
Ta 0.500 0.500 0.500


<b>
VASP calculation (PBE-GGA) on a geometry-optimized TaTe2Ru structure.

Computed properties:
**Total magnetic moment**: 0.0 μB per formula unit
**SG**: C2/m

a = 5.649 Å, b = 5.456 Å, c = 3.253 Å
α = 74.47°, β = 86.63°, γ = 120.01°
Atoms (fractional coordinates):
Ru 0.000 0.500 0.500
Ta 0.500 0.500 0.000
Te 0.000 0.000 0.000
Te 0.500 0.000 0.500


Stability comparison, relative energies in kJ/mol of atoms: <a> 0.0; <b> 17.8


<a>
VASP calculation (PBE-GGA) on a geometry-optimized TaTe2Ru structure.

Computed properties:
**Total magnetic moment**: 0.0 μB per formula unit
**SG**: Pm

a = 3.920 Å, b = 3.920 Å, c = 6.908 Å
α = 89.81°, β = 90.00°, γ = 90.00°
Atoms (fractional coordinates):
Ru 0.000 0.379 0.625
Ta 0.500 0.871 0.625
Te 0.000 0.880 0.906
Te 0.500 0.370 0.344


<b>
VASP calculation (PBE-GGA) on a geometry-optimized TaTe2Ru structure.

Computed properties:
**Total magnetic moment**: 0.0 μB per formula unit
**SG**: C2/m

a = 4.593 Å, b = 4.593 Å, c = 5.768 Å
α = 77.77°, β = 77.77°, γ = 42.08°
Atoms (fractional coordinates):
Ru 0.750 0.750 0.750
Ta 0.250 0.250 0.250
Te 0.002 0.002 0.997
Te 0.498 0.498 0.503


<c>
VASP calculation (PBE-GGA) on a geometry-optimized TaTe2Ru structure.

Computed properties:
**Total magnetic moment**: 0.0 μB per formula unit
**SG**: Pmmm

a = 3.333 Å, b = 5.440 Å, c = 4.491 Å
α = 90.00°, β = 90.00°, γ = 90.00°
Atoms (fractional coordinates):
Ru 0.500 0.000 0.500
Ta 0.000 0.500 0.500
Te 0.000 0.000 0.000
Te 0.500 0.500 0.000


<d>
VASP calculation (PBE-GGA) on a geometry-optimized TaTe2Ru structure.

Computed properties:
**Total magnetic moment**: 0.0 μB per formula unit
**SG**: Fm-3m

a = 4.766 Å, b = 4.766 Å, c = 4.766 Å
α = 60.00°, β = 60.00°, γ = 60.00°
Atoms (fractional coordinates):
Ru 0.000 0.000 0.000
Te 0.250 0.250 0.250
Te 0.750 0.750 0.750
Ta 0.500 0.500 0.500


Stability comparison, relative energies in kJ/mol of atoms: <a> 0.0; <b> 48.9; <c> 78.5; <d> 38.6


<a>
VASP calculation (PBE-GGA) on a geometry-optimized TaTeRu3 structure.

Computed properties:
**Total magnetic moment**: 0.0 μB per formula unit
**SG**: Pm-3m

a = 4.693 Å, b = 4.693 Å, c = 4.693 Å
α = 90.00°, β = 90.00°, γ = 90.00°
Atoms (fractional coordinates):
Ru 0.000 0.500 0.000
Ru 0.000 0.000 0.500
Ru 0.500 0.000 0.000
Te 0.000 0.000 0.000
Ta 0.500 0.500 0.500


<b>
VASP calculation (PBE-GGA) on a geometry-optimized TaTeRu3 structure.

Computed properties:
**Total magnetic moment**: 1.6 μB per formula unit
**SG**: Pm-3m

a = 4.759 Å, b = 4.759 Å, c = 4.759 Å
α = 90.00°, β = 90.00°, γ = 90.00°
Each line ends with the local moment (μB).
Atoms (fractional coordinates):
Ru 0.000 0.500 0.000  0.64
Ru 0.000 0.000 0.500  0.57
Ru 0.500 0.000 0.000  0.46
Te 0.500 0.500 0.500  0.01
Ta 0.000 0.000 0.000  -0.12


Stability comparison, relative energies in kJ/mol of atoms: <a> 26.3; <b> 0.0


<a>
VASP calculation (PBE-GGA) on a geometry-optimized TaTe4Ru structure.

Computed properties:
**Total magnetic moment**: 0.2 μB per formula unit
**SG**: F-43m

a = 6.039 Å, b = 6.039 Å, c = 6.039 Å
α = 60.00°, β = 60.00°, γ = 60.00°
Each line ends with the local moment (μB).
Atoms (fractional coordinates):
Ta 0.000 0.000 0.000  -1.42
Te 0.874 0.375 0.375  0.05
Te 0.375 0.375 0.874  0.05
Te 0.375 0.874 0.375  0.05
Te 0.375 0.375 0.375  0.05
Ru 0.750 0.750 0.750  2.02


<b>
VASP calculation (PBE-GGA) on a geometry-optimized TaTe4Ru structure.

Computed properties:
**Total magnetic moment**: 0.0 μB per formula unit
**SG**: Pmn2_1

a = 3.744 Å, b = 12.571 Å, c = 13.767 Å
α = 90.00°, β = 90.00°, γ = 90.00°
Atoms (fractional coordinates):
Ta 0.500 0.949 0.506
Ta 0.000 0.051 0.006
Ta 0.500 0.719 0.990
Ta 0.000 0.281 0.490
Te 0.500 0.928 0.896
Te 0.000 0.072 0.396
Te 0.500 0.810 0.355
Te 0.000 0.190 0.855
Te 0.500 0.658 0.592
Te 0.000 0.342 0.092
Te 0.500 0.576 0.137
Te 0.000 0.424 0.637
Te 0.500 0.425 0.899
Te 0.000 0.575 0.399
Te 0.500 0.330 0.349
Te 0.000 0.670 0.849
Te 0.500 0.159 0.603
Te 0.000 0.841 0.103
Te 0.500 0.101 0.147
Te 0.000 0.899 0.647
Ru 0.500 0.464 0.502
Ru 0.000 0.536 0.002
Ru 0.500 0.232 0.989
Ru 0.000 0.768 0.489


Stability comparison, relative energies in kJ/mol of atoms: <a> 181.8; <b> 0.0


<a>
VASP calculation (PBE-GGA) on a geometry-optimized TaTi3Ru structure.

Computed properties:
**Total magnetic moment**: 0.0 μB per formula unit
**SG**: Pm-3m

a = 4.683 Å, b = 4.683 Å, c = 4.683 Å
α = 90.00°, β = 90.00°, γ = 90.00°
Atoms (fractional coordinates):
Ru 0.500 0.500 0.500
Ti 0.000 0.500 0.000
Ti 0.000 0.000 0.500
Ti 0.500 0.000 0.000
Ta 0.000 0.000 0.000


<b>
VASP calculation (PBE-GGA) on a geometry-optimized TaTi3Ru structure.

Computed properties:
**Total magnetic moment**: 0.0 μB per formula unit
**SG**: Pm-3m

a = 4.617 Å, b = 4.617 Å, c = 4.617 Å
α = 90.00°, β = 90.00°, γ = 90.00°
Atoms (fractional coordinates):
Ru 0.000 0.000 0.000
Ti 0.000 0.500 0.000
Ti 0.000 0.000 0.500
Ti 0.500 0.000 0.000
Ta 0.500 0.500 0.500


Stability comparison, relative energies in kJ/mol of atoms: <a> 67.2; <b> 0.0


<a>
VASP calculation (PBE-GGA) on a geometry-optimized Ta2TiRu2 structure.

Computed properties:
**Total magnetic moment**: 0.0 μB per formula unit
**SG**: Cmmm

a = 3.025 Å, b = 2.994 Å, c = 9.198 Å
α = 80.63°, β = 90.00°, γ = 90.00°
Atoms (fractional coordinates):
Ta 0.000 0.182 0.636
Ta 0.000 0.818 0.364
Ti 0.000 0.000 0.000
Ru 0.500 0.414 0.171
Ru 0.500 0.586 0.829


<b>
VASP calculation (PBE-GGA) on a geometry-optimized Ta2TiRu2 structure.

Computed properties:
**Total magnetic moment**: 0.0 μB per formula unit
**SG**: P4/mbm

a = 7.412 Å, b = 7.412 Å, c = 3.079 Å
α = 90.00°, β = 90.00°, γ = 90.00°
Atoms (fractional coordinates):
Ru 0.363 0.863 0.000
Ru 0.863 0.637 0.000
Ru 0.637 0.137 0.000
Ru 0.137 0.363 0.000
Ti 0.000 0.000 0.000
Ti 0.500 0.500 0.000
Ta 0.164 0.664 0.500
Ta 0.664 0.836 0.500
Ta 0.836 0.336 0.500
Ta 0.336 0.164 0.500


Stability comparison, relative energies in kJ/mol of atoms: <a> 0.0; <b> 10.4


<a>
VASP calculation (PBE-GGA) on a geometry-optimized TaTlRu structure.

Computed properties:
**Total magnetic moment**: 0.0 μB per formula unit
**SG**: P3m1

a = 4.545 Å, b = 4.545 Å, c = 3.076 Å
α = 90.00°, β = 90.00°, γ = 120.00°
Atoms (fractional coordinates):
Ru 0.000 0.000 0.080
Ta 0.333 0.667 0.232
Tl 0.667 0.333 0.688


<b>
VASP calculation (PBE-GGA) on a geometry-optimized TaTlRu structure.

Computed properties:
**Total magnetic moment**: 0.0 μB per formula unit
**SG**: P3m1

a = 3.238 Å, b = 3.238 Å, c = 6.698 Å
α = 90.00°, β = 90.00°, γ = 120.00°
Atoms (fractional coordinates):
Ru 0.000 0.000 0.040
Ta 0.667 0.333 0.285
Tl 0.333 0.667 0.675


<c>
VASP calculation (PBE-GGA) on a geometry-optimized TaTlRu structure.

Computed properties:
**Total magnetic moment**: 0.0 μB per formula unit
**SG**: I4mm

a = 6.222 Å, b = 6.222 Å, c = 3.103 Å
α = 75.56°, β = 75.57°, γ = 28.88°
Atoms (fractional coordinates):
Ru 0.982 0.982 0.018
Ta 0.357 0.357 0.643
Tl 0.661 0.661 0.339


<d>
VASP calculation (PBE-GGA) on a geometry-optimized TaTlRu structure.

Computed properties:
**Total magnetic moment**: 0.0 μB per formula unit
**SG**: F-43m

a = 4.499 Å, b = 4.499 Å, c = 4.499 Å
α = 60.00°, β = 60.00°, γ = 60.00°
Atoms (fractional coordinates):
Ru 0.500 0.500 0.500
Ta 0.250 0.250 0.250
Tl 0.000 0.000 0.000


Stability comparison, relative energies in kJ/mol of atoms: <a> 22.5; <b> 10.3; <c> 0.0; <d> 63.5